1.
Entry from the Alexandria database: a PBEsol-optimized structure of Sr2LiPb (SCAN).

a = 5.121 Å, b = 4.246 Å, c = 12.751 Å
α = 90.00°, β = 90.00°, γ = 90.00°
Positions (direct):
1 Sr 0.000 0.000 0.000
2 Sr 0.000 0.500 0.500
3 Sr 0.500 0.000 0.297
4 Sr 0.500 0.500 0.797
5 Li 0.000 0.000 0.702
6 Li 0.000 0.500 0.202
7 Pb 0.500 0.000 0.578
8 Pb 0.500 0.500 0.078

Calculated values
formation energy from the elements: -1.82 eV per formula unit

2.
Entry from the Alexandria database: a PBEsol-optimized structure of Sr2LiPb (SCAN).

a = 5.660 Å, b = 5.660 Å, c = 4.145 Å
α = 90.00°, β = 90.00°, γ = 90.00°
Positions (direct):
1 Sr 0.000 0.500 0.000
2 Sr 0.500 0.000 0.000
3 Li 0.000 0.000 0.500
4 Pb 0.500 0.500 0.500

Calculated values
formation energy from the elements: -1.89 eV per formula unit

3.
Entry from the Alexandria database: a PBEsol-optimized structure of Sr2LiPb (SCAN).

a = 13.069 Å, b = 4.029 Å, c = 5.608 Å
α = 90.00°, β = 114.77°, γ = 90.00°
Positions (direct):
1 Sr 0.000 0.000 0.000
2 Sr 0.208 0.000 0.703
3 Sr 0.500 0.500 0.000
4 Sr 0.708 0.500 0.703
5 Li 0.421 0.000 0.421
6 Li 0.921 0.500 0.421
7 Pb 0.250 0.500 0.243
8 Pb 0.750 0.000 0.243

Calculated values
formation energy from the elements: -1.59 eV per formula unit

4.
Entry from the Alexandria database: a PBEsol-optimized structure of Sr2Li2Pb (SCAN).

a = 7.573 Å, b = 7.573 Å, c = 5.165 Å
α = 90.00°, β = 90.00°, γ = 90.00°
Positions (direct):
1 Sr 0.198 0.302 0.000
2 Sr 0.302 0.802 0.000
3 Sr 0.698 0.198 0.000
4 Sr 0.802 0.698 0.000
5 Li 0.130 0.630 0.500
6 Li 0.370 0.130 0.500
7 Li 0.630 0.870 0.500
8 Li 0.870 0.370 0.500
9 Pb 0.000 0.000 0.500
10 Pb 0.500 0.500 0.500

Calculated values
formation energy from the elements: -1.63 eV per formula unit

5.
Entry from the Alexandria database: a PBEsol-optimized structure of SrLi2Pb2 (SCAN).

a = 4.588 Å, b = 4.588 Å, c = 12.573 Å
α = 90.00°, β = 90.00°, γ = 90.00°
Positions (direct):
1 Sr 0.000 0.000 0.000
2 Sr 0.500 0.500 0.500
3 Li 0.000 0.500 0.250
4 Li 0.000 0.500 0.750
5 Li 0.500 0.000 0.250
6 Li 0.500 0.000 0.750
7 Pb 0.000 0.000 0.383
8 Pb 0.000 0.000 0.617
9 Pb 0.500 0.500 0.117
10 Pb 0.500 0.500 0.883

Calculated values
formation energy from the elements: -2.76 eV per formula unit

6.
Entry from the Alexandria database: a PBEsol-optimized structure of SrLi2Pb2 (SCAN).

a = 8.485 Å, b = 8.485 Å, c = 3.420 Å
α = 90.00°, β = 90.00°, γ = 90.00°
Positions (direct):
1 Sr 0.000 0.000 0.000
2 Sr 0.500 0.500 0.000
3 Li 0.118 0.382 0.000
4 Li 0.382 0.882 0.000
5 Li 0.618 0.118 0.000
6 Li 0.882 0.618 0.000
7 Pb 0.174 0.674 0.500
8 Pb 0.326 0.174 0.500
9 Pb 0.674 0.826 0.500
10 Pb 0.826 0.326 0.500

Calculated values
formation energy from the elements: -2.59 eV per formula unit

7.
Entry from the Alexandria database: a PBEsol-optimized structure of LiTaPb3 (SCAN).

a = 5.468 Å, b = 5.468 Å, c = 5.468 Å
α = 90.00°, β = 90.00°, γ = 90.00°
Positions (direct):
1 Li 0.000 0.000 0.000
2 Ta 0.500 0.500 0.500
3 Pb 0.000 0.500 0.500
4 Pb 0.500 0.000 0.500
5 Pb 0.500 0.500 0.000

Calculated values
formation energy from the elements: 1.48 eV per formula unit

8.
Entry from the Alexandria database: a PBEsol-optimized structure of LiTcPb (SCAN).

a = 3.065 Å, b = 3.065 Å, c = 6.852 Å
α = 90.00°, β = 90.00°, γ = 120.00°
Positions (direct):
1 Li 0.000 0.000 0.000
2 Tc 0.667 0.333 0.311
3 Pb 0.333 0.667 0.630

Calculated values
formation energy from the elements: 1.74 eV per formula unit

9.
Entry from the Alexandria database: a PBEsol-optimized structure of LiZrTcPb2 (SCAN).

a = 5.669 Å, b = 5.669 Å, c = 4.695 Å
α = 90.00°, β = 90.00°, γ = 90.00°
Positions (direct):
1 Li 0.000 0.000 0.000
2 Zr 0.500 0.500 0.500
3 Tc 0.500 0.500 0.000
4 Pb 0.000 0.500 0.500
5 Pb 0.500 0.000 0.500

Calculated values
formation energy from the elements: 3.66 eV per formula unit

10.
Entry from the Alexandria database: a PBEsol-optimized structure of LiTe2Pb (SCAN).

a = 3.986 Å, b = 4.220 Å, c = 13.384 Å
α = 90.00°, β = 90.00°, γ = 90.00°
Positions (direct):
1 Li 0.000 0.000 0.000
2 Li 0.500 0.500 0.500
3 Te 0.000 0.000 0.446
4 Te 0.000 0.500 0.158
5 Te 0.500 0.000 0.658
6 Te 0.500 0.500 0.946
7 Pb 0.000 0.500 0.766
8 Pb 0.500 0.000 0.266

Calculated values
energy: -38.57 eV per atom

11.
Entry from the Alexandria database: a PBEsol-optimized structure of Li2Te2Pb (SCAN).

a = 4.174 Å, b = 4.174 Å, c = 14.465 Å
α = 90.00°, β = 90.00°, γ = 90.00°
Positions (direct):
1 Li 0.000 0.500 0.250
2 Li 0.000 0.500 0.750
3 Li 0.500 0.000 0.250
4 Li 0.500 0.000 0.750
5 Te 0.000 0.000 0.126
6 Te 0.000 0.000 0.874
7 Te 0.500 0.500 0.374
8 Te 0.500 0.500 0.626
9 Pb 0.000 0.000 0.500
10 Pb 0.500 0.500 0.000

Calculated values
energy: -31.67 eV per atom

12.
Entry from the Alexandria database: a PBEsol-optimized structure of LiTe2Pb (SCAN).

a = 6.622 Å, b = 8.112 Å, c = 4.092 Å
α = 90.00°, β = 90.00°, γ = 90.00°
Positions (direct):
1 Li 0.000 0.000 0.000
2 Li 0.500 0.500 0.000
3 Te 0.250 0.250 0.500
4 Te 0.250 0.750 0.500
5 Te 0.750 0.250 0.500
6 Te 0.750 0.750 0.500
7 Pb 0.000 0.500 0.000
8 Pb 0.500 0.000 0.000

Calculated values
energy: -38.54 eV per atom